DFT (PBE) results for an optimized crystal structure of LiLa3Zn2.

Cell: 3.8644 5.2974 8.4067 Å, 108.37 90.00 90.00°
Atoms (fractional coordinates):
Zn: 0.0000 0.6596 0.3193
Zn: 0.0000 0.3404 0.6807
La: 0.5000 0.1737 0.3475
La: 0.5000 0.8263 0.6525
La: 0.5000 0.5000 0.0000
Li: 0.0000 0.0000 0.0000

## Properties
The calculated density comes out at 5.64 g/cm3. The calculation puts the energy above the most stable polymorph in this dataset at 0.000 eV/atom. Its total magnetic moment is 0.00 μB per formula unit. The formation energy comes out at -18.43 kJ per mole of atoms. As for the symmetry: Cmmm.

---

DFT (PBE) results for an optimized crystal structure of KZn2CdCl8.

Cell: 6.4459 6.4459 9.7912 Å, 70.78 70.78 60.00°
Atoms (fractional coordinates):
Cl: 0.1693 0.1693 0.4920
Cl: 0.3875 0.7155 0.8278
Cl: 0.8307 0.8307 0.5080
Cl: 0.9308 0.6125 0.1722
Cl: 0.6125 0.2845 0.1722
Cl: 0.7155 0.0692 0.8278
Cl: 0.2845 0.9308 0.1722
Cl: 0.0692 0.3875 0.8278
Cd: 0.0000 0.0000 0.0000
Zn: 0.7467 0.7467 0.7598
Zn: 0.2533 0.2533 0.2402
K: 0.5000 0.5000 0.5000

## Properties
The calculated density comes out at 2.88 g/cm3. The uncorrected formation energy comes out at -1.0787 eV per atom. Its total magnetic moment is 0.96 μB per formula unit. As for the symmetry: R-3.

---

DFT (PBE) results for an optimized crystal structure of Ba2BeNi.

Cell: 3.4845 3.4845 9.2294 Å, 90.00 90.00 90.00°
Atoms (fractional coordinates):
Be: 0.0000 0.0000 0.5931
Ba: 0.0000 0.0000 0.9112
Ba: 0.5000 0.5000 0.3461
Ni: 0.5000 0.5000 0.6496

## Properties
The calculated density comes out at 5.07 g/cm3. The calculation puts the energy above the most stable polymorph in this dataset at 0.270 eV/atom. Its total magnetic moment is 0.00 μB per formula unit. The formation energy comes out at 36.13 kJ per mole of atoms. As for the symmetry: P4mm.

---

DFT (PBE) results for an optimized crystal structure of Tl3ReS.

Cell: 5.5206 5.5206 5.5206 Å, 90.00 90.00 90.00°
Atoms (fractional coordinates):
Tl: 0.0000 0.0000 0.5000
Tl: 0.0000 0.5000 0.0000
Tl: 0.5000 0.0000 0.0000
Re: 0.5000 0.5000 0.5000
S: 0.0000 0.0000 0.0000

## Properties
The calculated density comes out at 8.21 g/cm3. The calculation puts the energy above the most stable polymorph in this dataset at 0.540 eV/atom. The uncorrected formation energy comes out at 1.3763 eV per atom. Its total magnetic moment is 3.97 μB per formula unit. As for the symmetry: Pm-3m.

---

DFT (PBE) results for an optimized crystal structure of TaTl2Ru.

Cell: 9.3835 9.3835 9.3835 Å, 19.26 19.26 19.26°
Atoms (fractional coordinates):
Tl: 0.9948 0.9948 0.9948
Tl: 0.5052 0.5052 0.5052
Ta: 0.7500 0.7500 0.7500
Ru: 0.2500 0.2500 0.2500

## Properties
The calculated density comes out at 14.59 g/cm3. The calculation puts the energy above the most stable polymorph in this dataset at 0.462 eV/atom. Its total magnetic moment is 0.35 μB per formula unit. The formation energy comes out at 63.87 kJ per mole of atoms. As for the symmetry: R-3m.

---

DFT (PBE) results for an optimized crystal structure of YMo2Pt.

Cell: 5.2767 5.6182 2.8283 Å, 80.52 79.33 115.02°
Atoms (fractional coordinates):
Pt: 0.0000 0.5000 0.5000
Y: 0.5000 0.5000 0.0000
Mo: 0.5000 0.0000 0.5000
Mo: 0.0000 0.0000 0.0000

## Properties
The calculated density comes out at 11.00 g/cm3. The calculation puts the energy above the most stable polymorph in this dataset at 0.264 eV/atom. Its total magnetic moment is 0.00 μB per formula unit. The formation energy comes out at 12.30 kJ per mole of atoms. As for the symmetry: C2/m.

---

DFT (PBE) results for an optimized crystal structure of Be2CoRe.

Cell: 2.6619 2.6619 5.7699 Å, 90.00 90.00 90.00°
Atoms (fractional coordinates):
Re: 0.5000 0.5000 0.7568
Co: 0.0000 0.0000 0.4573
Be: 0.0000 0.0000 0.0438
Be: 0.5000 0.5000 0.2420

## Properties
The calculated density comes out at 10.69 g/cm3. The calculation puts the energy above the most stable polymorph in this dataset at 0.000 eV/atom. Its total magnetic moment is 0.28 μB per formula unit. The formation energy comes out at -15.70 kJ per mole of atoms. As for the symmetry: P4mm.

---

DFT (PBE) results for an optimized crystal structure of Dy3YIr.

Cell: 5.4283 5.4283 5.4283 Å, 90.00 90.00 90.00°
Atoms (fractional coordinates):
Dy: 0.0000 0.5000 0.0000
Dy: 0.0000 0.0000 0.5000
Dy: 0.5000 0.0000 0.0000
Y: 0.5000 0.5000 0.5000
Ir: 0.0000 0.0000 0.0000

## Properties
The calculated density comes out at 7.98 g/cm3. The calculation puts the energy above the most stable polymorph in this dataset at 0.082 eV/atom. Its total magnetic moment is 0.00 μB per formula unit. The formation energy comes out at -24.58 kJ per mole of atoms. As for the symmetry: Pm-3m.

---

DFT (PBE) results for an optimized crystal structure of Sm2Dy5Th4.

Cell: 3.5779 8.7327 13.8041 Å, 65.43 67.12 89.99°
Atoms (fractional coordinates):
Dy: 0.9641 0.0859 0.3574
Dy: 0.5000 0.0000 0.0000
Dy: 0.2342 0.5455 0.1772
Dy: 0.7658 0.4545 0.8228
Dy: 0.0359 0.9141 0.6426
Th: 0.5963 0.8210 0.2695
Th: 0.4037 0.1790 0.7305
Th: 0.1358 0.7271 0.9093
Th: 0.8642 0.2729 0.0907
Sm: 0.3122 0.3624 0.4586
Sm: 0.6878 0.6376 0.5414

## Properties
The calculated density comes out at 9.56 g/cm3. Its total magnetic moment is 0.00 μB per formula unit. The formation energy comes out at 3.30 kJ per mole of atoms. As for the symmetry: C2/m.

---

DFT (PBE) results for an optimized crystal structure of KAcAlS4.

Cell: 7.3004 5.8443 9.4245 Å, 90.00 105.13 90.00°
Atoms (fractional coordinates):
S: 0.3899 0.7500 0.5529
S: 0.9977 0.5150 0.7262
S: 0.4308 0.7500 0.1644
S: 0.0023 0.0150 0.2738
S: 0.5692 0.2500 0.8356
S: 0.0023 0.4850 0.2738
S: 0.9977 0.9850 0.7262
S: 0.6101 0.2500 0.4471
Ac: 0.7458 0.7500 0.4372
Ac: 0.2542 0.2500 0.5628
K: 0.2741 0.2500 0.0443
K: 0.7259 0.7500 0.9557
Al: 0.7593 0.2500 0.6896
Al: 0.2407 0.7500 0.3104

## Properties
The calculated density comes out at 3.60 g/cm3. The uncorrected formation energy comes out at -1.4575 eV per atom. Its total magnetic moment is 0.14 μB per formula unit. As for the symmetry: P2_1/m.

---

DFT (PBE) results for an optimized crystal structure of Tc2PtCSe.

Cell: 5.1615 3.7234 5.1615 Å, 90.00 90.00 90.00°
Atoms (fractional coordinates):
Pt: 0.0000 0.0000 0.0000
Se: 0.5000 0.5000 0.5000
Tc: 0.0000 0.0000 0.5000
Tc: 0.5000 0.0000 0.0000
C: 0.0000 0.5000 0.0000

## Properties
The calculated density comes out at 8.07 g/cm3. The calculation puts the energy above the most stable polymorph in this dataset at 0.000 eV/atom. The uncorrected formation energy comes out at 1.5637 eV per atom. Its total magnetic moment is 6.60 μB per formula unit. As for the symmetry: P4/mmm.

---

DFT (PBE) results for an optimized crystal structure of Ba3U2HgS9.

Cell: 7.3350 7.3350 9.0512 Å, 90.00 90.00 120.00°
Atoms (fractional coordinates):
S: 0.5000 0.0000 0.0000
S: 0.0000 0.5000 0.0000
S: 0.5000 0.5000 0.0000
S: 0.1687 0.3375 0.3281
S: 0.3375 0.1687 0.6719
S: 0.8313 0.6625 0.6719
S: 0.8313 0.1687 0.6719
S: 0.1687 0.8313 0.3281
S: 0.6625 0.8313 0.3281
Hg: 0.0000 0.0000 0.5000
Ba: 0.0000 0.0000 0.0000
Ba: 0.3333 0.6667 0.6482
Ba: 0.6667 0.3333 0.3518
U: 0.6667 0.3333 0.8288
U: 0.3333 0.6667 0.1712

## Properties
The calculated density comes out at 5.42 g/cm3. The uncorrected formation energy comes out at -1.4260 eV per atom. Its total magnetic moment is 2.00 μB per formula unit. As for the symmetry: P-3m1.

---

DFT (PBE) results for an optimized crystal structure of Ca2PH2.

Cell: 3.5763 3.5763 6.8284 Å, 74.82 74.82 90.00°
Atoms (fractional coordinates):
H: 0.7500 0.2500 0.5000
H: 0.2500 0.7500 0.5000
Ca: 0.6435 0.6435 0.7129
Ca: 0.3565 0.3565 0.2871
P: 0.0000 0.0000 0.0000

## Properties
The calculated density comes out at 2.32 g/cm3. The calculation puts the energy above the most stable polymorph in this dataset at 0.000 eV/atom. Its total magnetic moment is 0.00 μB per formula unit. As for the symmetry: I4/mmm.

---

DFT (PBE) results for an optimized crystal structure of DyErSbSe.

Cell: 4.2335 4.2331 5.9667 Å, 89.99 90.00 90.00°
Atoms (fractional coordinates):
Se: 0.5000 0.3914 0.0925
Dy: 0.5000 0.3915 0.5925
Er: 0.0000 0.8916 0.0924
Sb: 0.0000 0.8915 0.5924

## Properties
The calculated density comes out at 8.24 g/cm3. The uncorrected formation energy comes out at -1.4068 eV per atom. Its total magnetic moment is 0.00 μB per formula unit. As for the symmetry: P4/mmm.

---

DFT (PBE) results for an optimized crystal structure of Sr2ZnGa3Ag4.

Cell: 4.4645 4.4645 11.2625 Å, 90.00 90.00 90.00°
Atoms (fractional coordinates):
Ga: 0.0000 0.0000 0.5000
Ga: 0.5000 0.0000 0.8683
Ga: 0.0000 0.5000 0.1317
Ag: 0.0000 0.5000 0.3659
Ag: 0.5000 0.0000 0.6341
Ag: 0.5000 0.5000 0.0000
Ag: 0.0000 0.0000 0.0000
Zn: 0.5000 0.5000 0.5000
Sr: 0.0000 0.5000 0.7509
Sr: 0.5000 0.0000 0.2491

## Properties
The calculated density comes out at 6.52 g/cm3. Its total magnetic moment is 0.00 μB per formula unit. The formation energy comes out at -26.84 kJ per mole of atoms. As for the symmetry: P-4m2.

---

DFT (PBE) results for an optimized crystal structure of CeInPb.

Cell: 4.4303 4.4303 5.6271 Å, 113.18 113.18 90.00°
Atoms (fractional coordinates):
Pb: 0.6227 0.6227 0.2453
In: 0.9441 0.9441 0.8882
Ce: 0.2833 0.2833 0.5665

## Properties
The calculated density comes out at 8.36 g/cm3. The calculation puts the energy above the most stable polymorph in this dataset at 0.173 eV/atom. Its total magnetic moment is 1.13 μB per formula unit. The formation energy comes out at -10.88 kJ per mole of atoms. As for the symmetry: I4mm.

---

DFT (PBE) results for an optimized crystal structure of Pm2Er6Tm3.

Cell: 4.6930 4.6930 16.7639 Å, 98.05 98.05 90.00°
Atoms (fractional coordinates):
Er: 0.6223 0.1223 0.2447
Er: 0.6958 0.6958 0.3916
Er: 0.1223 0.6223 0.2447
Er: 0.3777 0.8777 0.7553
Er: 0.8777 0.3777 0.7553
Er: 0.3042 0.3042 0.6084
Tm: 0.7991 0.7991 0.5982
Tm: 0.0000 0.0000 0.0000
Tm: 0.2009 0.2009 0.4018
Pm: 0.4539 0.4538 0.9077
Pm: 0.5461 0.5462 0.0923

## Properties
The calculated density comes out at 8.26 g/cm3. The calculation puts the energy above the most stable polymorph in this dataset at 0.092 eV/atom. Its total magnetic moment is 0.00 μB per formula unit. The formation energy comes out at 27.06 kJ per mole of atoms. As for the symmetry: I4/mmm.

---

DFT (PBE) results for an optimized crystal structure of HgRu2Pt.

Cell: 7.3494 7.3494 5.8394 Å, 51.00 51.00 90.00°
Atoms (fractional coordinates):
Ru: 0.8750 0.8470 0.7500
Ru: 0.5970 0.1250 0.2500
Ru: 0.1530 0.6250 0.2500
Ru: 0.3750 0.4030 0.7500
Pt: 0.5000 0.5000 0.0000
Pt: 0.2500 0.7500 0.5000
Hg: 0.7500 0.2500 0.5000
Hg: 0.0000 0.0000 0.0000

## Properties
The calculated density comes out at 13.80 g/cm3. Its total magnetic moment is 1.79 μB per formula unit. The formation energy comes out at 84.34 kJ per mole of atoms. As for the symmetry: I-42d.

---

DFT (PBE) results for an optimized crystal structure of ZnH.

Cell: 4.4173 4.4173 4.4173 Å, 90.00 90.00 90.00°
Atoms (fractional coordinates):
H: 0.2500 0.7500 0.7500
H: 0.2500 0.2500 0.2500
H: 0.7500 0.7500 0.2500
H: 0.7500 0.2500 0.7500
Zn: 0.5000 0.5000 0.0000
Zn: 0.0000 0.5000 0.5000
Zn: 0.0000 0.0000 0.0000
Zn: 0.5000 0.0000 0.5000

## Properties
The calculated density comes out at 5.12 g/cm3. Its total magnetic moment is 0.00 μB per formula unit. The total energy is -14.8 eV for the cell shown. As for the symmetry: F-43m.

---

DFT (PBE) results for an optimized crystal structure of NaCuSi3.

Cell: 4.6490 4.6490 4.6490 Å, 90.00 90.00 90.00°
Atoms (fractional coordinates):
Si: 0.0000 0.0000 0.5000
Si: 0.0000 0.5000 0.0000
Si: 0.5000 0.0000 0.0000
Cu: 0.0000 0.0000 0.0000
Na: 0.5000 0.5000 0.5000

## Properties
The calculated density comes out at 2.82 g/cm3. The calculation puts the energy above the most stable polymorph in this dataset at 0.000 eV/atom. The uncorrected formation energy comes out at 0.6174 eV per atom. Its total magnetic moment is 0.00 μB per formula unit. As for the symmetry: Pm-3m.

---

DFT (PBE) results for an optimized crystal structure of CdSn.

Cell: 10.9127 10.9127 4.5134 Å, 90.00 90.00 90.00°
Atoms (fractional coordinates):
Cd: 0.9516 0.1900 0.5000
Cd: 0.1900 0.0484 0.5000
Cd: 0.8100 0.9516 0.5000
Cd: 0.6900 0.5484 0.0000
Cd: 0.3100 0.4516 0.0000
Cd: 0.0484 0.8100 0.5000
Cd: 0.5484 0.3100 0.0000
Cd: 0.4516 0.6900 0.0000
Sn: 0.8214 0.6791 0.5000
Sn: 0.1791 0.6786 0.0000
Sn: 0.6791 0.1786 0.5000
Sn: 0.3214 0.1791 0.0000
Sn: 0.1786 0.3209 0.5000
Sn: 0.6786 0.8209 0.0000
Sn: 0.8209 0.3214 0.0000
Sn: 0.3209 0.8214 0.5000

## Properties
The calculated density comes out at 5.71 g/cm3. Its total magnetic moment is 0.00 μB per formula unit. The formation energy comes out at 15.63 kJ per mole of atoms. As for the symmetry: I4/m.

---

DFT (PBE) results for an optimized crystal structure of Hf5Be2Sb.

Cell: 7.0229 7.0229 7.8914 Å, 116.42 116.42 90.00°
Atoms (fractional coordinates):
Hf: 0.5000 0.5000 0.0000
Hf: 0.7029 0.2029 0.7252
Hf: 0.9777 0.4777 0.2748
Hf: 0.5223 0.7029 0.7252
Hf: 0.2971 0.7971 0.2748
Hf: 0.7971 0.9777 0.2748
Hf: 0.4777 0.2971 0.2748
Hf: 0.2029 0.0223 0.7252
Hf: 0.0000 0.0000 0.0000
Hf: 0.0223 0.5223 0.7252
Be: 0.8655 0.6345 0.0000
Be: 0.1345 0.3655 0.0000
Be: 0.3655 0.8655 0.0000
Be: 0.6345 0.1345 0.0000
Sb: 0.2500 0.2500 0.5000
Sb: 0.7500 0.7500 0.5000

## Properties
The calculated density comes out at 11.33 g/cm3. The uncorrected formation energy comes out at -0.1938 eV per atom. Its total magnetic moment is 0.01 μB per formula unit. As for the symmetry: I4/mcm.

---

DFT (PBE) results for an optimized crystal structure of CaIr3Cl.

Cell: 4.5228 4.5228 4.5228 Å, 90.00 90.00 90.00°
Atoms (fractional coordinates):
Cl: 0.0000 0.0000 0.0000
Ir: 0.0000 0.5000 0.0000
Ir: 0.0000 0.0000 0.5000
Ir: 0.5000 0.0000 0.0000
Ca: 0.5000 0.5000 0.5000

## Properties
The calculated density comes out at 11.71 g/cm3. The calculation puts the energy above the most stable polymorph in this dataset at 0.000 eV/atom. The uncorrected formation energy comes out at 0.9029 eV per atom. Its total magnetic moment is 0.00 μB per formula unit. As for the symmetry: Pm-3m.

---

DFT (PBE) results for an optimized crystal structure of NdThGa2.

Cell: 5.2334 5.2334 5.2334 Å, 60.00 60.00 60.00°
Atoms (fractional coordinates):
Ga: 0.2500 0.2500 0.2500
Ga: 0.7500 0.7500 0.7500
Th: 0.0000 0.0000 0.0000
Nd: 0.5000 0.5000 0.5000

## Properties
The calculated density comes out at 8.45 g/cm3. The calculation puts the energy above the most stable polymorph in this dataset at 0.099 eV/atom. Its total magnetic moment is 0.00 μB per formula unit. The formation energy comes out at -43.10 kJ per mole of atoms. As for the symmetry: Fm-3m.

---

DFT (PBE) results for an optimized crystal structure of TcAsPt4.

Cell: 5.2804 5.2804 5.2804 Å, 60.00 60.00 60.00°
Atoms (fractional coordinates):
Pt: 0.6246 0.6246 0.6246
Pt: 0.6246 0.6246 0.1261
Pt: 0.6246 0.1261 0.6246
Pt: 0.1261 0.6246 0.6246
As: 0.0000 0.0000 0.0000
Tc: 0.2500 0.2500 0.2500

## Properties
The calculated density comes out at 15.20 g/cm3. Its total magnetic moment is 3.25 μB per formula unit. The formation energy comes out at 38.21 kJ per mole of atoms. As for the symmetry: F-43m.